No. 1
# ReHgTe2

A relaxed ReHgTe2 crystal (PBE, Alexandria via LeMat-Bulk).

E above lowest polymorph in meV per atom: 212
Symmetry: Pm
Energy relative to the elements, uncorrected in eV/atom: 0.435
Total DFT energy (no corrections) in eV/atom: -4.324

Cell lengths 4.2455, 4.6506, 6.4148 Å; angles 89.20, 90.00, 90.00 degrees
Closest atoms and distances in Å follow each position.
Sites, in units of the cell vectors:
1 Te 0.0000 0.7428 0.9242  2 Re 2.58
2 Te 0.5000 0.2527 0.5003  2 Re 2.64
3 Hg 0.0000 0.7556 0.3786  5 Te 2.92-3.25, 2 Re 2.94
4 Re 0.5000 0.7489 0.6968  4 Te 2.58-2.64

No. 2
# NdY3Sc3

A relaxed NdY3Sc3 crystal (PBE, Alexandria via LeMat-Bulk).

E above lowest polymorph in meV per atom: 0
Symmetry: P6_3/m
Energy of formation from the pure elements in eV/atom: 0.04
Total DFT energy (no corrections) in eV/atom: -6.129

Cell lengths 5.4930, 9.2999, 9.2999 Å; angles 120.00, 90.00, 90.00 degrees
Closest atoms and distances in Å follow each position.
Sites, in units of the cell vectors:
1 Sc 0.2500 0.0978 0.6140  4 Sc 3.39-3.45, 3 Nd 3.39-3.52, 5 Y 3.42-3.57
2 Sc 0.7500 0.4838 0.0978  4 Sc 3.39-3.45, 3 Nd 3.39-3.52, 5 Y 3.42-3.57
3 Sc 0.7500 0.6140 0.5162  4 Sc 3.39-3.45, 3 Nd 3.39-3.52, 5 Y 3.42-3.57
4 Sc 0.7500 0.9022 0.3860  4 Sc 3.39-3.45, 3 Nd 3.39-3.52, 5 Y 3.42-3.57
5 Sc 0.2500 0.3860 0.4838  4 Sc 3.39-3.45, 3 Nd 3.39-3.52, 5 Y 3.42-3.57
6 Sc 0.2500 0.5162 0.9022  4 Sc 3.39-3.45, 3 Nd 3.39-3.52, 5 Y 3.42-3.57
7 Nd 0.7500 0.3333 0.6667  9 Sc 3.39-3.52, 3 Y 3.47
8 Nd 0.2500 0.6667 0.3333  9 Sc 3.39-3.52, 3 Y 3.47
9 Y 0.2500 0.9506 0.1949  5 Sc 3.42-3.57, 6 Y 3.45-3.60, 1 Nd 3.47
10 Y 0.7500 0.1949 0.2442  5 Sc 3.42-3.57, 6 Y 3.45-3.60, 1 Nd 3.47
11 Y 0.7500 0.0494 0.8051  5 Sc 3.42-3.57, 6 Y 3.45-3.60, 1 Nd 3.47
12 Y 0.7500 0.7558 0.9506  5 Sc 3.42-3.57, 6 Y 3.45-3.60, 1 Nd 3.47
13 Y 0.2500 0.8051 0.7558  5 Sc 3.42-3.57, 6 Y 3.45-3.60, 1 Nd 3.47
14 Y 0.2500 0.2442 0.0494  5 Sc 3.42-3.57, 6 Y 3.45-3.60, 1 Nd 3.47

No. 3
# CaNd2Pb

A relaxed CaNd2Pb crystal (PBE, Alexandria via LeMat-Bulk).

E above lowest polymorph in meV per atom: 401
Symmetry: R-3m
Energy of formation from the pure elements in eV/atom: 0.10
Total DFT energy (no corrections) in eV/atom: -3.714

Cell lengths 3.6493, 3.6493, 12.8485 Å; angles 81.84, 81.84, 60.00 degrees
Closest atoms and distances in Å follow each position.
Sites, in units of the cell vectors:
1 Nd 0.0851 0.0851 0.7448  1 Pb 3.23
2 Nd 0.9149 0.9149 0.2552  1 Pb 3.23
3 Pb 0.0000 0.0000 0.0000  2 Nd 3.23
4 Ca 0.5000 0.5000 0.5000  6 Ca 3.65, 6 Nd 3.75

No. 4
# Ac9Rh4Au2

A relaxed Ac9Rh4Au2 crystal (PBE, Alexandria via LeMat-Bulk).

Symmetry: P-3c1
Energy of formation from the pure elements in eV/atom: -0.61
Total DFT energy (no corrections) in eV/atom: -5.469

Cell lengths 7.6168, 7.6169, 21.2131 Å; angles 90.00, 90.00, 59.99 degrees
Closest atoms and distances in Å follow each position.
Sites, in units of the cell vectors:
1 Au 0.0001 0.9998 0.8387  6 Ac 3.20-3.22
2 Au 0.9998 0.0002 0.3388  6 Ac 3.20-3.22
3 Au 0.9999 0.0002 0.1613  6 Ac 3.20-3.22
4 Au 0.0002 0.9998 0.6612  6 Ac 3.20-3.22
5 Rh 0.3332 0.3336 0.1732  6 Ac 2.99-3.07
6 Rh 0.6667 0.6666 0.5068  6 Ac 3.00-3.02
7 Rh 0.3334 0.3333 0.9932  6 Ac 3.00-3.02
8 Rh 0.6668 0.6664 0.8268  6 Ac 2.99-3.07
9 Rh 0.3335 0.3331 0.6731  6 Ac 2.99-3.07
10 Rh 0.6666 0.6667 0.0068  6 Ac 3.00-3.02
11 Rh 0.6665 0.6669 0.3269  6 Ac 2.99-3.07
12 Rh 0.3333 0.3334 0.4932  6 Ac 3.00-3.02
13 Ac 0.3420 0.0003 0.2500  2 Rh 2.99, 2 Au 3.22
14 Ac 0.3631 0.6523 0.4188  3 Rh 3.00-3.07, 1 Au 3.20
15 Ac 0.0153 0.3479 0.0812  3 Rh 3.00-3.07, 1 Au 3.20
16 Ac 0.3479 0.0153 0.5812  3 Rh 3.00-3.07, 1 Au 3.20
17 Ac 0.3424 0.6575 0.7500  2 Rh 2.99, 2 Au 3.22
18 Ac 0.3477 0.6369 0.0812  3 Rh 3.00-3.07, 1 Au 3.20
19 Ac 0.6367 0.0154 0.0812  3 Rh 3.00-3.07, 1 Au 3.20
20 Ac 0.3633 0.9846 0.9188  3 Rh 3.00-3.07, 1 Au 3.20
21 Ac 0.9846 0.3633 0.4188  3 Rh 3.00-3.07, 1 Au 3.20
22 Ac 0.0002 0.3419 0.7500  2 Rh 2.99, 2 Au 3.22
23 Ac 0.6580 0.9997 0.7500  2 Rh 2.99, 2 Au 3.22
24 Ac 0.6523 0.3631 0.9188  3 Rh 3.00-3.07, 1 Au 3.20
25 Ac 0.0154 0.6367 0.5812  3 Rh 3.00-3.07, 1 Au 3.20
26 Ac 0.9998 0.6581 0.2500  2 Rh 2.99, 2 Au 3.22
27 Ac 0.6576 0.3425 0.2500  2 Rh 2.99, 2 Au 3.22
28 Ac 0.6369 0.3477 0.5812  3 Rh 3.00-3.07, 1 Au 3.20
29 Ac 0.6521 0.9847 0.4188  3 Rh 3.00-3.07, 1 Au 3.20
30 Ac 0.9847 0.6521 0.9188  3 Rh 3.00-3.07, 1 Au 3.20

No. 5
# Np2MnCo3B12

A relaxed Np2MnCo3B12 crystal (PBE, Alexandria via LeMat-Bulk).

Symmetry: R-3m
Energy of formation from the pure elements in eV/atom: 0.08
Total DFT energy (no corrections) in eV/atom: -7.506

Cell lengths 7.9723, 7.9723, 7.9723 Å; angles 38.95, 38.95, 38.95 degrees
Closest atoms and distances in Å follow each position.
Sites, in units of the cell vectors:
1 B 0.0204 0.3470 0.3470  4 B 1.74
2 B 0.9487 0.9487 0.3215  2 B 1.74
3 B 0.3470 0.0204 0.3470  4 B 1.74
4 B 0.3215 0.9487 0.9487  2 B 1.74
5 B 0.3470 0.3470 0.0204  4 B 1.74
6 B 0.9796 0.6530 0.6530  4 B 1.74
7 B 0.6785 0.0513 0.0513  2 B 1.74
8 B 0.9487 0.3215 0.9487  2 B 1.74
9 B 0.6530 0.9796 0.6530  4 B 1.74
10 B 0.6530 0.6530 0.9796  4 B 1.74
11 B 0.0513 0.6785 0.0513  2 B 1.74
12 B 0.0513 0.0513 0.6785  2 B 1.74
13 Co 0.0000 0.5000 0.0000  6 B 2.08-2.11
14 Co 0.0000 0.0000 0.5000  6 B 2.08-2.11
15 Co 0.5000 0.0000 0.0000  6 B 2.08-2.11
16 Np 0.6427 0.6427 0.6427  15 B 2.60-2.90
17 Np 0.3573 0.3573 0.3573  15 B 2.60-2.90
18 Mn 0.0000 0.0000 0.0000  6 B 1.98

No. 6
# Pr2HoEr4

A relaxed Pr2HoEr4 crystal (PBE, Alexandria via LeMat-Bulk).

Symmetry: P1
Energy of formation from the pure elements in eV/atom: 0.07
Total DFT energy (no corrections) in eV/atom: -4.557

Cell lengths 9.5193, 8.4268, 8.7670 Å; angles 138.73, 96.36, 91.66 degrees
Closest atoms and distances in Å follow each position.
Sites, in units of the cell vectors:
1 Pr 0.6205 0.2564 0.1285  8 Er 3.43-3.67, 1 Pr 3.50, 2 Ho 3.52-3.59
2 Pr 0.1134 0.6125 0.9715  8 Er 3.45-3.74, 2 Pr 3.47-3.65, 2 Ho 3.70-3.84
3 Pr 0.4872 0.9193 0.2379  8 Er 3.46-3.72, 3 Pr 3.65-3.84, 1 Ho 3.69
4 Pr 0.7604 0.5011 0.9754  4 Er 3.19-3.52, 1 Ho 3.44, 2 Pr 3.47-3.50
5 Er 0.3396 0.5978 0.3339  3 Ho 3.43-3.63, 6 Er 3.47-3.61, 3 Pr 3.52-3.72
6 Er 0.9160 0.6456 0.6431  5 Er 3.33-3.66, 3 Ho 3.44-3.47, 2 Pr 3.45-3.67
7 Er 0.5624 0.5953 0.6922  5 Pr 3.48-3.72, 6 Er 3.49-3.83, 1 Ho 3.65
8 Er 0.6941 0.8934 0.5698  5 Er 3.35-3.71, 5 Pr 3.35-3.67, 1 Ho 3.68
9 Er 0.0462 0.9357 0.5219  6 Er 3.46-3.87, 3 Pr 3.48-3.73, 3 Ho 3.51-3.63
10 Er 0.3971 0.2496 0.7746  5 Pr 3.46-3.68, 6 Er 3.47-3.83, 1 Ho 3.60
11 Er 0.2065 0.2872 0.4370  5 Er 3.43-3.66, 3 Ho 3.45-3.57, 3 Pr 3.46-3.71
12 Er 0.8499 0.0428 0.2501  3 Pr 3.19-3.54, 3 Er 3.33-3.51, 1 Ho 3.50
13 Ho 0.2666 0.9362 0.8774  8 Er 3.43-3.65, 1 Ho 3.48, 3 Pr 3.52-3.70
14 Ho 0.9901 0.2769 0.0867  3 Pr 3.44-3.84, 8 Er 3.45-3.68, 1 Ho 3.48

No. 7
# NiHgBr

A relaxed NiHgBr crystal (PBE, Alexandria via LeMat-Bulk).

E above lowest polymorph in meV per atom: 5
Symmetry: C2/m
Energy relative to the elements, uncorrected in eV/atom: -0.038
Total DFT energy (no corrections) in eV/atom: -2.624

Cell lengths 6.1028, 3.7074, 12.2100 Å; angles 90.00, 99.90, 90.00 degrees
Closest atoms and distances in Å follow each position.
Sites, in units of the cell vectors:
1 Hg 0.0000 0.5000 0.0000  4 Ni 2.62
2 Hg 0.0000 0.0000 0.5000  4 Ni 2.62
3 Hg 0.5000 0.0000 0.0000  2 Ni 2.59
4 Hg 0.5000 0.5000 0.5000  2 Ni 2.59
5 Br 0.2455 0.5000 0.7611  3 Ni 2.48-2.50
6 Br 0.2455 0.0000 0.2611  3 Ni 2.48-2.50
7 Br 0.7545 0.0000 0.7389  3 Ni 2.48-2.50
8 Br 0.7545 0.5000 0.2389  3 Ni 2.48-2.50
9 Ni 0.1174 0.0000 0.8694  3 Br 2.48-2.50, 3 Hg 2.59-2.62
10 Ni 0.8826 0.0000 0.1306  3 Br 2.48-2.50, 3 Hg 2.59-2.62
11 Ni 0.8826 0.5000 0.6306  3 Br 2.48-2.50, 3 Hg 2.59-2.62
12 Ni 0.1174 0.5000 0.3694  3 Br 2.48-2.50, 3 Hg 2.59-2.62

No. 8
# RbCoB3

A relaxed RbCoB3 crystal (PBE, Alexandria via LeMat-Bulk).

E above lowest polymorph in meV per atom: 0
Symmetry: Pm-3m
Energy of formation from the pure elements in eV/atom: 1.05
Total DFT energy (no corrections) in eV/atom: -4.571

Cell lengths 4.0180, 4.0180, 4.0180 Å; angles 90.00, 90.00, 90.00 degrees
Closest atoms and distances in Å follow each position.
Sites, in units of the cell vectors:
1 B 0.0000 0.5000 0.0000  2 Co 2.01
2 B 0.0000 0.0000 0.5000  2 Co 2.01
3 B 0.5000 0.0000 0.0000  2 Co 2.01
4 Co 0.0000 0.0000 0.0000  6 B 2.01
5 Rb 0.5000 0.5000 0.5000  12 B 2.84

No. 9
# AcCeNiRu

A relaxed AcCeNiRu crystal (PBE, Alexandria via LeMat-Bulk).

Symmetry: F-43m
Energy of formation from the pure elements in eV/atom: -0.12
Total DFT energy (no corrections) in eV/atom: -6.393

Cell lengths 5.0326, 5.0326, 5.0326 Å; angles 60.00, 60.00, 60.00 degrees
Closest atoms and distances in Å follow each position.
Sites, in units of the cell vectors:
1 Ce 0.0000 0.0000 0.0000  4 Ru 3.08, 4 Ni 3.08
2 Ac 0.5000 0.5000 0.5000  4 Ni 3.08, 4 Ru 3.08
3 Ru 0.7500 0.7500 0.7500  4 Ac 3.08, 4 Ce 3.08
4 Ni 0.2500 0.2500 0.2500  4 Ce 3.08, 4 Ac 3.08

No. 10
# TmPuZn10

A relaxed TmPuZn10 crystal (PBE, Alexandria via LeMat-Bulk).

Symmetry: Pmmm
Energy of formation from the pure elements in eV/atom: -0.18
Total DFT energy (no corrections) in eV/atom: -2.811

Cell lengths 4.2392, 5.3027, 9.1915 Å; angles 90.00, 90.00, 90.00 degrees
Closest atoms and distances in Å follow each position.
Sites, in units of the cell vectors:
1 Zn 0.5000 0.7499 0.2513  8 Zn 2.61-2.66
2 Zn 0.0000 0.0000 0.3374  6 Zn 2.59-2.62
3 Zn 0.5000 0.2501 0.7487  8 Zn 2.61-2.66
4 Zn 0.0000 0.5000 0.1704  6 Zn 2.61-2.64
5 Zn 0.5000 0.2501 0.2513  8 Zn 2.61-2.66
6 Zn 0.5000 0.5000 0.0000  8 Zn 2.64-2.66
7 Zn 0.5000 0.7499 0.7487  8 Zn 2.61-2.66
8 Zn 0.0000 0.0000 0.6626  6 Zn 2.59-2.62
9 Zn 0.5000 0.0000 0.5000  8 Zn 2.59-2.64
10 Zn 0.0000 0.5000 0.8296  6 Zn 2.61-2.64
11 Tm 0.0000 0.5000 0.5000  14 Zn 3.03-3.39
12 Pu 0.0000 0.0000 0.0000  18 Zn 3.08-3.40

Number 1: calculated volume 126.6 Å³ per cell, total moment 0.0 μB per cell. Number 2: calculated volume 411.4 Å³ per cell, total moment 0.0 μB per cell. Number 3: calculated volume 146.2 Å³ per cell, total moment 0.0 μB per cell. Number 4: calculated volume 1065.8 Å³ per cell, total moment 0.0 μB per cell. Number 5: calculated volume 180.1 Å³ per cell, total moment 7.0 μB per cell. Number 6: calculated volume 454.2 Å³ per cell, total moment 0.0 μB per cell. Number 7: calculated volume 272.1 Å³ per cell, total moment 0.0 μB per cell. Number 8: calculated volume 64.9 Å³ per cell, total moment 0.0 μB per cell. Number 9: calculated volume 90.1 Å³ per cell, total moment 0.3 μB per cell. Number 10: calculated volume 206.6 Å³ per cell, total moment 5.4 μB per cell.